Record 1
# Ga2As2Pd7, optimized geometry, DFT PBE
# Calculated formation energy = -0.34 eV/atom
# VASP energy = -5.045 eV/atom
# Total moment = 0.0 μB per formula unit
data_Ga2As2Pd7
_chemical_formula_sum 'Ga4 As4 Pd14'
_symmetry_space_group_name_H-M 'C 1 2/m 1'
_symmetry_Int_Tables_number 12
_symmetry_space_group_name_Hall '-C 2y'
_cell_length_a 6.2234
_cell_length_b 9.4420
_cell_length_c 6.5553
_cell_angle_alpha 90.00
_cell_angle_beta 106.07
_cell_angle_gamma 90.00
loop_
_atom_site_label
_atom_site_fract_x
_atom_site_fract_y
_atom_site_fract_z
Ga1 0.0000 0.1775 0.0000
As1 0.1378 0.5000 0.1944
Pd1 0.0000 0.5000 0.5000
Pd2 0.0598 0.0000 0.2996
Pd3 0.1915 0.2414 0.6951



Record 2
# GaAsPd2, optimized geometry, DFT PBE
# Calculated formation energy = -0.38 eV/atom
# VASP energy = -4.899 eV/atom
# Total moment = 0.0 μB per formula unit
# Energy above the most stable polymorph in this dataset = 0.107 eV per atom
data_GaAsPd2
_chemical_formula_sum 'Ga1 As1 Pd2'
_symmetry_space_group_name_H-M 'P 4/m m m'
_symmetry_Int_Tables_number 123
_symmetry_space_group_name_Hall '-P 4 2'
_cell_length_a 3.0987
_cell_length_b 3.0987
_cell_length_c 6.5741
_cell_angle_alpha 90.00
_cell_angle_beta 90.00
_cell_angle_gamma 90.00
loop_
_atom_site_label
_atom_site_fract_x
_atom_site_fract_y
_atom_site_fract_z
Ga1 0.0000 0.0000 0.0000
As1 0.0000 0.0000 0.5000
Pd1 0.5000 0.5000 0.2278



Record 3
# Ga3AsPd, optimized geometry, DFT PBE
# Calculated formation energy = 0.09 eV/atom
# VASP energy = -3.697 eV/atom
# Total moment = 0.1 μB per formula unit
# Energy above the most stable polymorph in this dataset = 0.000 eV per atom
data_Ga3AsPd
_chemical_formula_sum 'Ga3 As1 Pd1'
_symmetry_space_group_name_H-M 'P m -3 m'
_symmetry_Int_Tables_number 221
_symmetry_space_group_name_Hall '-P 4 2 3'
_cell_length_a 4.8187
_cell_length_b 4.8187
_cell_length_c 4.8187
_cell_angle_alpha 90.00
_cell_angle_beta 90.00
_cell_angle_gamma 90.00
loop_
_atom_site_label
_atom_site_fract_x
_atom_site_fract_y
_atom_site_fract_z
Ga1 0.0000 0.0000 0.5000
As1 0.5000 0.5000 0.5000
Pd1 0.0000 0.0000 0.0000



Record 4
# Ga2As2Pd, optimized geometry, DFT PBE
# Calculated formation energy = -0.04 eV/atom
# VASP energy = -4.148 eV/atom
# Total moment = 0.0 μB per formula unit
data_Ga2As2Pd
_chemical_formula_sum 'Ga4 As4 Pd2'
_symmetry_space_group_name_H-M 'P 4/m b m'
_symmetry_Int_Tables_number 127
_symmetry_space_group_name_Hall '-P 4 2ab'
_cell_length_a 6.5069
_cell_length_b 6.5069
_cell_length_c 4.7565
_cell_angle_alpha 90.00
_cell_angle_beta 90.00
_cell_angle_gamma 90.00
loop_
_atom_site_label
_atom_site_fract_x
_atom_site_fract_y
_atom_site_fract_z
Ga1 0.1763 0.3237 0.0000
As1 0.1386 0.6386 0.5000
Pd1 0.0000 0.0000 0.5000



Record 5
# Pm2GaAs3Pd4, optimized geometry, DFT PBE
# Calculated formation energy = -0.89 eV/atom
# VASP energy = -5.610 eV/atom
# Total moment = 0.0 μB per formula unit
data_Pm2GaAs3Pd4
_chemical_formula_sum 'Pm2 Ga1 As3 Pd4'
_symmetry_space_group_name_H-M 'P -4 m 2'
_symmetry_Int_Tables_number 115
_symmetry_space_group_name_Hall 'P -4 -2'
_cell_length_a 4.2498
_cell_length_b 4.2498
_cell_length_c 10.6446
_cell_angle_alpha 90.00
_cell_angle_beta 90.00
_cell_angle_gamma 90.00
loop_
_atom_site_label
_atom_site_fract_x
_atom_site_fract_y
_atom_site_fract_z
Pm1 0.0000 0.5000 0.2390
Ga1 0.0000 0.0000 0.5000
As1 0.0000 0.5000 0.8629
As2 0.5000 0.5000 0.5000
Pd1 0.0000 0.0000 0.0000
Pd2 0.0000 0.5000 0.6329
Pd3 0.5000 0.5000 0.0000



Record 6
# Pr2GaAs3Pd4, optimized geometry, DFT PBE
# Calculated formation energy = -0.90 eV/atom
# VASP energy = -5.627 eV/atom
# Total moment = 0.0 μB per formula unit
data_Pr2GaAs3Pd4
_chemical_formula_sum 'Pr2 Ga1 As3 Pd4'
_symmetry_space_group_name_H-M 'P -4 m 2'
_symmetry_Int_Tables_number 115
_symmetry_space_group_name_Hall 'P -4 -2'
_cell_length_a 4.2874
_cell_length_b 4.2874
_cell_length_c 10.6243
_cell_angle_alpha 90.00
_cell_angle_beta 90.00
_cell_angle_gamma 90.00
loop_
_atom_site_label
_atom_site_fract_x
_atom_site_fract_y
_atom_site_fract_z
Pr1 0.0000 0.5000 0.2421
Ga1 0.0000 0.0000 0.5000
As1 0.0000 0.5000 0.8637
As2 0.5000 0.5000 0.5000
Pd1 0.0000 0.0000 0.0000
Pd2 0.0000 0.5000 0.6315
Pd3 0.5000 0.5000 0.0000



Record 7
# GaAs2PdRh, optimized geometry, DFT PBE
# Calculated formation energy = 0.83 eV/atom
# VASP energy = -4.144 eV/atom
# Total moment = 0.0 μB per formula unit
data_GaAs2PdRh
_chemical_formula_sum 'Ga1 As2 Pd1 Rh1'
_symmetry_space_group_name_H-M 'P 4/m m m'
_symmetry_Int_Tables_number 123
_symmetry_space_group_name_Hall '-P 4 2'
_cell_length_a 4.7654
_cell_length_b 4.7654
_cell_length_c 4.5552
_cell_angle_alpha 90.00
_cell_angle_beta 90.00
_cell_angle_gamma 90.00
loop_
_atom_site_label
_atom_site_fract_x
_atom_site_fract_y
_atom_site_fract_z
Ga1 0.0000 0.0000 0.0000
As1 0.0000 0.5000 0.0000
Pd1 0.0000 0.0000 0.5000
Rh1 0.5000 0.5000 0.5000



Record 8
# GaAsPdSe2, optimized geometry, DFT PBE
# VASP energy = -3.634 eV/atom
# Total moment = 0.0 μB per formula unit
# Energy above the most stable polymorph in this dataset = 0.000 eV per atom
data_GaAsPdSe2
_chemical_formula_sum 'Ga1 As1 Pd1 Se2'
_symmetry_space_group_name_H-M 'P 4/m m m'
_symmetry_Int_Tables_number 123
_symmetry_space_group_name_Hall '-P 4 2'
_cell_length_a 5.2196
_cell_length_b 5.2196
_cell_length_c 4.6575
_cell_angle_alpha 90.00
_cell_angle_beta 90.00
_cell_angle_gamma 90.00
loop_
_atom_site_label
_atom_site_fract_x
_atom_site_fract_y
_atom_site_fract_z
Ga1 0.0000 0.0000 0.0000
As1 0.5000 0.5000 0.0000
Pd1 0.5000 0.5000 0.5000
Se1 0.0000 0.5000 0.5000



Record 9
# GaAsPdSe2, optimized geometry, DFT PBE
# VASP energy = -3.300 eV/atom
# Total moment = 0.0 μB per formula unit
# Energy above the most stable polymorph in this dataset = 0.335 eV per atom
data_GaAsPdSe2
_chemical_formula_sum 'Ga1 As1 Pd1 Se2'
_symmetry_space_group_name_H-M 'P 4/m m m'
_symmetry_Int_Tables_number 123
_symmetry_space_group_name_Hall '-P 4 2'
_cell_length_a 4.9198
_cell_length_b 4.9198
_cell_length_c 4.8577
_cell_angle_alpha 90.00
_cell_angle_beta 90.00
_cell_angle_gamma 90.00
loop_
_atom_site_label
_atom_site_fract_x
_atom_site_fract_y
_atom_site_fract_z
Ga1 0.0000 0.0000 0.0000
As1 0.0000 0.0000 0.5000
Pd1 0.5000 0.5000 0.5000
Se1 0.0000 0.5000 0.0000



Record 10
# GaSn2As2Pd7, optimized geometry, DFT PBE
# Calculated formation energy = -0.38 eV/atom
# VASP energy = -5.099 eV/atom
# Total moment = 0.0 μB per formula unit
data_GaSn2As2Pd7
_chemical_formula_sum 'Ga2 Sn4 As4 Pd14'
_symmetry_space_group_name_H-M 'C 1 2/m 1'
_symmetry_Int_Tables_number 12
_symmetry_space_group_name_Hall '-C 2y'
_cell_length_a 5.5469
_cell_length_b 5.5986
_cell_length_c 14.6190
_cell_angle_alpha 90.00
_cell_angle_beta 95.53
_cell_angle_gamma 90.00
loop_
_atom_site_label
_atom_site_fract_x
_atom_site_fract_y
_atom_site_fract_z
Ga1 0.0000 0.0000 0.0000
Sn1 0.1260 0.0000 0.4111
As1 0.0632 0.5000 0.2393
Pd1 0.0000 0.5000 0.0000
Pd2 0.1110 0.5000 0.4105
Pd3 0.2129 0.2501 0.8633



Record 11
# Sr2GaAsPd6, optimized geometry, DFT PBE
# Calculated formation energy = -0.64 eV/atom
# VASP energy = -4.855 eV/atom
# Total moment = 0.0 μB per formula unit
data_Sr2GaAsPd6
_chemical_formula_sum 'Sr2 Ga1 As1 Pd6'
_symmetry_space_group_name_H-M 'P -1'
_symmetry_Int_Tables_number 2
_symmetry_space_group_name_Hall '-P 1'
_cell_length_a 6.6560
_cell_length_b 6.6571
_cell_length_c 6.8275
_cell_angle_alpha 60.92
_cell_angle_beta 61.02
_cell_angle_gamma 60.18
loop_
_atom_site_label
_atom_site_fract_x
_atom_site_fract_y
_atom_site_fract_z
Sr1 0.2206 0.2202 0.3382
Ga1 0.5000 0.5000 0.5000
As1 0.0000 0.0000 0.0000
Pd1 0.2477 0.6637 0.8386
Pd2 0.2491 0.2486 0.8387
Pd3 0.3378 0.7496 0.1599



Record 12
# Sr3GaAs2Pd9, optimized geometry, DFT PBE
# Calculated formation energy = -0.57 eV/atom
# VASP energy = -4.844 eV/atom
# Total moment = 0.0 μB per formula unit
data_Sr3GaAs2Pd9
_chemical_formula_sum 'Sr3 Ga1 As2 Pd9'
_symmetry_space_group_name_H-M 'P -3 m 1'
_symmetry_Int_Tables_number 164
_symmetry_space_group_name_Hall '-P 3 2"'
_cell_length_a 6.4611
_cell_length_b 6.4611
_cell_length_c 9.1939
_cell_angle_alpha 90.00
_cell_angle_beta 90.00
_cell_angle_gamma 120.00
loop_
_atom_site_label
_atom_site_fract_x
_atom_site_fract_y
_atom_site_fract_z
Sr1 0.0000 0.0000 0.0000
Sr2 0.3333 0.6667 0.6661
Ga1 0.0000 0.0000 0.5000
As1 0.3333 0.6667 0.1751
Pd1 0.0000 0.5000 0.0000
Pd2 0.1428 0.2856 0.2909



> Which formula does entry 10 have?

GaSn2As2Pd7



> Which value of total moment does entry 8 give?

0.0 μB per formula unit



> Look up the VASP energy of the twelfth one.

-4.844 eV/atom



> What is the total moment in the first record?

0.0 μB per formula unit